Density functional theory data (GGA-PBEsol) for an optimized crystal structure of FePBr3.

* ΔE_f (raw): 0.672 eV per atom

Geometry as POSCAR:
```
FePBr3
1.0
5.046 0.000 0.000
0.000 5.046 0.000
0.000 0.000 5.046
Fe P Br
1 1 3
Direct
0.000 0.000 0.000 Fe
0.500 0.500 0.500 P
0.000 0.500 0.500 Br
0.500 0.000 0.500 Br
0.500 0.500 0.000 Br
```